No. 1
A plane-wave DFT calculation with GGA-PBE was carried out for a relaxed Ce2Pr3Se8 crystal.

energy above the most stable polymorph in this dataset	0.00	kJ per mole of atoms
E_form (uncorrected)	-22.4	eV per formula unit
electronic total energy	-5.882	eV/atom
calculated volume	429.6	Å³ per cell

Lattice parameters (Å, degrees): 8.630 8.630 7.169 107.27 107.27 58.85
Element x y z (fractional)
Ce 0.239 0.239 0.164
Ce 0.761 0.761 0.836
Pr 0.238 0.762 0.500
Pr 0.500 0.500 0.000
Pr 0.762 0.238 0.500
Se 0.110 0.110 0.374
Se 0.140 0.602 0.083
Se 0.379 0.379 0.568
Se 0.398 0.860 0.917
Se 0.602 0.140 0.083
Se 0.621 0.621 0.432
Se 0.860 0.398 0.917
Se 0.890 0.890 0.626

***

No. 2
A plane-wave DFT calculation with GGA-PBE was carried out for a relaxed CePr3Se4 crystal.

E_form (uncorrected)	-14.7	eV per formula unit
electronic total energy	-6.119	eV/atom
calculated volume	434.5	Å³ per cell

Lattice parameters (Å, degrees): 8.548 12.024 4.227 90.00 90.00 90.00
Element x y z (fractional)
Ce 0.000 0.000 0.000
Ce 0.500 0.500 0.000
Pr 0.000 0.500 0.000
Pr 0.250 0.250 0.500
Pr 0.250 0.750 0.500
Pr 0.500 0.000 0.000
Pr 0.750 0.250 0.500
Pr 0.750 0.750 0.500
Se 0.000 0.248 0.000
Se 0.000 0.752 0.000
Se 0.246 0.000 0.500
Se 0.254 0.500 0.500
Se 0.500 0.252 0.000
Se 0.500 0.748 0.000
Se 0.746 0.500 0.500
Se 0.754 0.000 0.500

***

No. 3
A plane-wave DFT calculation with GGA-PBE was carried out for a relaxed Ce3PrSe4 crystal.

energy above the most stable polymorph in this dataset	0.38	kJ per mole of atoms
E_form (uncorrected)	-14.6	eV per formula unit
electronic total energy	-6.389	eV/atom
calculated volume	212.3	Å³ per cell

Lattice parameters (Å, degrees): 5.966 5.966 5.966 90.00 90.00 90.00
Element x y z (fractional)
Ce 0.000 0.000 0.500
Ce 0.000 0.500 0.000
Ce 0.500 0.000 0.000
Pr 0.500 0.500 0.500
Se 0.000 0.000 0.000
Se 0.000 0.500 0.500
Se 0.500 0.000 0.500
Se 0.500 0.500 0.000

***

No. 4
A plane-wave DFT calculation with GGA-PBE was carried out for a relaxed Ce3PrSe6 crystal.

energy above the most stable polymorph in this dataset	14.90	kJ per mole of atoms
E_form (uncorrected)	-16.6	eV per formula unit
electronic total energy	-6.008	eV/atom
calculated volume	324.1	Å³ per cell

Lattice parameters (Å, degrees): 7.753 7.753 7.428 118.62 118.62 60.76
Element x y z (fractional)
Ce 0.000 0.000 0.000
Ce 0.250 0.250 0.805
Ce 0.750 0.750 0.195
Pr 0.500 0.500 0.500
Se 0.158 0.660 0.157
Se 0.248 0.248 0.409
Se 0.340 0.842 0.843
Se 0.660 0.158 0.157
Se 0.752 0.752 0.591
Se 0.842 0.340 0.843